{
  "formula": "BeRe2Br",
  "functional": "PBE-GGA",
  "state": "optimized geometry",
  "sg": "Cm",
  "e_form_raw_ev_per_fu": 2.36,
  "crystal_system": "monoclinic",
  "volume_a3_per_cell": 76,
  "lattice_angstrom": [[4.2947, -0.0067, -0.0239], [3.1518, 2.9173, -0.0239], [1.0475, 0.4094, 6.0302]],
  "species": ["Be", "Br", "Re", "Re"],
  "frac_coords": [[0.4476, 0.4476, 0.6009], [0.3682, 0.3682, 0.2712], [0.7065, 0.7065, 0.7353], [0.9777, 0.9777, 0.8926]]
}

***

{
  "formula": "BeRe2Br",
  "functional": "PBE-GGA",
  "state": "optimized geometry",
  "sg": "P4mm",
  "e_form_raw_ev_per_fu": 1.65,
  "crystal_system": "tetragonal",
  "volume_a3_per_cell": 73,
  "lattice_angstrom": [[-2.4815, 0.2982, 1.6643], [-1.2198, -2.3626, -1.3954], [3.1666, -4.9469, 5.6076]],
  "species": ["Re", "Re", "Be", "Br"],
  "frac_coords": [[0.5000, 0.5000, 0.2475], [0.0000, 0.0000, 0.0512], [0.0000, 0.0000, 0.3812], [0.5000, 0.5000, 0.8201]]
}